Record 1
Density functional theory data (GGA-PBE) for crystalline ErGe2BiO8 at its relaxed geometry.

The structure belongs to space group I-4m2 (No. 119); the cell edges are 7.028, 7.028 and 6.400 Å and the angles 90.00°, 90.00° and 90.00°. The asymmetric unit holds Er at (0.000, 0.000, 0.000), Ge at (0.000, 0.000, 0.500), Ge at (0.000, 0.500, 0.250), Bi at (0.000, 0.500, 0.750), O at (0.000, 0.183, 0.691) and O at (0.000, 0.319, 0.057).

The value obtained for the formation energy from raw total energies is -1.78 eV per atom.

Record 2
Density functional theory data (GGA-PBE) for crystalline ScSn2Ru at its relaxed geometry.

The structure belongs to space group P4/mmm (No. 123); the cell edges are 3.253, 3.253 and 7.468 Å and the angles 90.00°, 90.00° and 90.00°. The asymmetric unit holds Sc at (0.000, 0.000, 0.000), Sn at (0.500, 0.500, 0.283) and Ru at (0.000, 0.000, 0.500).

The energy of formation comes out at -0.29 eV/atom.

Record 3
Density functional theory data (GGA-PBE) for crystalline TiTe2N at its relaxed geometry.

The structure belongs to space group R-3m (No. 166, hexagonal axes); the cell edges are 3.8255, 3.8255 and 21.8229 Å and the angles 90.00°, 90.00° and 120.00°. The asymmetric unit holds Ti at (0.0000, 0.0000, 0.0000), Te at (0.0000, 0.0000, 0.4105) and N at (0.0000, 0.0000, 0.5000).

The value obtained for the formation energy from raw total energies is 0.46 eV per atom.

Record 4
Density functional theory data (GGA-PBE) for crystalline GaSi2H at its relaxed geometry.

The structure belongs to space group I-42d (No. 122); the cell edges are 4.173, 4.173 and 13.491 Å and the angles 90.00°, 90.00° and 90.00°. The asymmetric unit holds Ga at (0.000, 0.000, 0.000), Si at (0.152, 0.250, 0.625) and H at (0.000, 0.000, 0.500).

Its uncorrected energy is -3.89 eV/atom.

no.,calculated density (g/cm3)
1,6.8
2,8.1
3,5.7
4,3.6